This record from Alexandria describes an optimized crystal structure of CrReRh2. The functional is PBE.

Unit cell a=4.696 b=4.696 c=4.629 alpha=80.30 beta=80.30 gamma=33.38
Atoms (fractional coordinates):
Rh1 0.002 0.002 0.997
Rh2 0.498 0.498 0.503
Re1 0.250 0.250 0.250
Cr1 0.750 0.750 0.750

Output
symmetry = C2/m, No. 12
energy above the most stable polymorph in this dataset = 138 meV per atom
formation energy from the elements = 0.005 eV/atom